No. 1
Below is an optimized crystal structure of SiAsRuBr2, with properties calculated at the PBE level.

abc: 5.1560 5.1560 4.6737
angles: 90.00 90.00 90.00
Closest atoms and distances in Å follow each position.
Atoms (fractional coordinates):
Si 0.0000 0.0000 0.0000  8 Br 3.48, 4 As 3.65
As 0.5000 0.5000 0.0000  2 Ru 2.34
Ru 0.5000 0.5000 0.5000  2 As 2.34, 4 Br 2.58
Br 0.0000 0.5000 0.5000  2 Ru 2.58
Br 0.5000 0.0000 0.5000  2 Ru 2.58

Excess energy over the best structure of this formula in the dataset (kJ per mole of atoms): 0.0
SG: P4/mmm
Calculated total energy (eV/atom): -3.85
Formation energy (no corrections) (eV per atom): 0.693


No. 2
Below is an optimized crystal structure of Na3Hg2S3, with properties calculated at the PBE level.

abc: 7.5142 7.5142 13.1318
angles: 90.00 90.00 143.55
Closest atoms and distances in Å follow each position.
Atoms (fractional coordinates):
Na 0.0512 0.9488 0.7500  3 S 2.73-2.74
Na 0.3584 0.6416 0.6117  3 S 2.97-3.02, 3 Hg 3.23-3.24
Na 0.3584 0.6416 0.8883  3 S 2.97-3.02, 3 Hg 3.23-3.24
Na 0.6416 0.3584 0.1117  3 S 2.97-3.02, 3 Hg 3.23-3.24
Na 0.6416 0.3584 0.3883  3 S 2.97-3.02, 3 Hg 3.23-3.24
Na 0.9488 0.0512 0.2500  3 S 2.73-2.74
Hg 0.2964 0.7036 0.1254  3 S 2.57-2.76
Hg 0.2964 0.7036 0.3746  3 S 2.57-2.76
Hg 0.7036 0.2964 0.6254  3 S 2.57-2.76
Hg 0.7036 0.2964 0.8746  3 S 2.57-2.76
S 0.1407 0.8593 0.2500  5 Na 2.74-2.97, 2 Hg 2.76
S 0.1499 0.8501 0.5722  2 Hg 2.57, 1 Na 2.73
S 0.1499 0.8501 0.9278  2 Hg 2.57, 1 Na 2.73
S 0.8501 0.1499 0.0722  2 Hg 2.57, 1 Na 2.73
S 0.8501 0.1499 0.4278  2 Hg 2.57, 1 Na 2.73
S 0.8593 0.1407 0.7500  5 Na 2.74-2.97, 2 Hg 2.76

SG: Cmcm
Calculated total energy (eV/atom): -2.63
Formation energy (no corrections) (eV per atom): -0.514